No. 1
The following is a PBE calculation of a relaxed structure of Pr5ErN6, from the Alexandria database.

Calculated values
space group	No. 12
raw formation energy	-16.12	eV per formula unit

POSCAR file:
```
Pr5ErN6
1.0
6.2457 0.1522 0.9488
1.5340 5.3007 3.0899
0.1043 0.0567 6.3233
Pr N Er
5 6 1
Cartesian
0.5457 1.7844 3.1403 Pr
3.8898 2.7264 2.0194 Pr
1.0926 3.5730 6.2728 Pr
3.4458 0.9886 5.2209 Pr
4.4382 4.5209 5.1410 Pr
2.4707 3.2142 4.1141 N
5.8742 4.1359 3.0596 N
5.4133 2.2954 6.2479 N
1.9055 1.3170 0.9791 N
4.8811 0.5640 3.0098 N
3.0029 4.9455 7.3521 N
0.0000 0.0000 0.0000 Er
```

=====

No. 2
The following is a PBE calculation of a relaxed structure of Mg2TlIn2Cl7, from the Alexandria database.

Calculated values
space group	No. 12
raw formation energy	-16.20	eV per formula unit

POSCAR file:
```
Mg2TlIn2Cl7
1.0
-1.3820 -2.4588 -4.1655
-1.4319 -3.9461 2.7722
-13.1962 2.3639 0.4118
Cl In Tl Mg
7 2 1 2
Cartesian
-1.4069 -3.2025 -0.6967 Cl
-6.0587 -1.3413 -0.3312 Cl
-4.3791 -3.4839 -2.5832 Cl
-4.4039 -4.2237 0.8676 Cl
-9.9513 -2.6996 -0.6504 Cl
-11.6309 -0.5571 1.6017 Cl
-11.6061 0.1827 -1.8491 Cl
-7.0572 -4.2039 -0.9520 In
-8.9529 0.1629 -0.0295 In
0.0000 0.0000 0.0000 Tl
-12.2682 -1.8450 -0.4838 Mg
-3.7418 -2.1960 -0.4977 Mg
```

=====

No. 3
The following is a PBE calculation of a relaxed structure of Ca2SiIr, from the Alexandria database.

Calculated values
space group	No. 123
raw formation energy	-0.74	eV per formula unit

POSCAR file:
```
Ca2SiIr
1.0
4.5029 0.0000 0.0000
0.0000 4.5029 0.0000
0.0000 0.0000 4.0339
Ca Ir Si
2 1 1
Cartesian
2.2514 2.2514 0.0000 Ca
0.0000 0.0000 0.0000 Ca
2.2514 0.0000 2.0169 Ir
0.0000 2.2514 2.0169 Si
```

=====

No. 4
The following is a PBE calculation of a relaxed structure of Ho3PdPt3, from the Alexandria database.

Calculated values
space group	No. 198

POSCAR file:
```
Ho3PdPt3
1.0
8.4203 0.0000 0.0000
0.0000 8.4203 0.0000
0.0000 0.0000 8.4203
Pd Ho Pt
4 12 12
Cartesian
3.5692 3.5692 3.5692 Pd
4.8511 7.7794 0.6409 Pd
7.7794 0.6409 4.8511 Pd
0.6409 4.8511 7.7794 Pd
2.2376 1.0358 4.1832 Ho
1.9725 7.3845 8.3934 Ho
8.3934 1.9725 7.3845 Ho
0.0269 6.1827 5.2460 Ho
1.0358 4.1832 2.2376 Ho
6.1827 5.2460 0.0269 Ho
5.2460 0.0269 6.1827 Ho
4.2371 6.4478 3.1743 Ho
4.1832 2.2376 1.0358 Ho
3.1743 4.2371 6.4478 Ho
7.3845 8.3934 1.9725 Ho
6.4478 3.1743 4.2371 Ho
2.8043 7.0144 5.6160 Pt
1.3612 7.0591 2.8490 Pt
7.0591 2.8490 1.3612 Pt
7.0144 5.6160 2.8043 Pt
7.5872 7.5872 7.5872 Pt
5.5713 5.5713 5.5713 Pt
1.4059 1.4059 1.4059 Pt
3.3770 5.0433 0.8331 Pt
2.8490 1.3612 7.0591 Pt
0.8331 3.3770 5.0433 Pt
5.0433 0.8331 3.3770 Pt
5.6160 2.8043 7.0144 Pt
```

=====

No. 5
The following is a PBE calculation of a relaxed structure of SmDy3Hg6, from the Alexandria database.

Calculated values
space group	No. 11

POSCAR file:
```
SmDy3Hg6
1.0
-2.4887 -0.6647 -4.4921
-5.1833 -6.5568 3.8419
-5.3531 9.6940 1.5312
Dy Hg Sm
6 12 2
Cartesian
-6.7444 5.2940 1.4608 Dy
-6.2807 -2.8215 -0.5798 Dy
-9.9397 4.4226 3.3601 Dy
-5.3532 0.2192 1.4410 Dy
-7.6719 2.2533 -0.5600 Dy
-3.0854 -1.9501 -2.4790 Dy
-8.3469 -0.7305 0.2555 Hg
-2.4371 0.8940 -0.2744 Hg
-3.5187 -2.3152 0.7997 Hg
-10.5880 1.5785 1.1554 Hg
-5.7883 8.1798 0.5041 Hg
-9.5064 4.7877 0.0814 Hg
-7.2368 -5.7073 0.3770 Hg
-5.2761 0.0267 -1.5578 Hg
-6.5903 -2.6054 2.5444 Hg
-6.4348 5.0779 -1.6633 Hg
-7.7490 2.4458 2.4389 Hg
-4.6782 3.2030 0.6255 Hg
-8.7522 -0.3508 3.4085 Sm
-4.2729 2.8234 -2.5274 Sm
```

=====

No. 6
The following is a PBE calculation of a relaxed structure of Tb7Pm2Pr, from the Alexandria database.

Calculated values
space group	No. 65
excess energy over the best structure of this formula in the dataset	0.0	meV/atom

POSCAR file:
```
Tb7Pm2Pr
1.0
3.5355 0.0000 0.0000
0.0000 9.8916 -2.7306
0.0000 -0.6797 10.2391
Pm Tb Pr
2 7 1
Cartesian
1.7678 1.1660 7.9746 Pm
1.7678 8.0459 -0.4662 Pm
1.7678 8.2081 3.8621 Tb
1.7678 1.0038 3.6463 Tb
1.7678 4.6060 3.7542 Tb
0.0000 2.7923 5.9794 Tb
1.7678 3.7738 0.2479 Tb
0.0000 6.4196 1.5290 Tb
1.7678 5.4381 7.2606 Tb
0.0000 0.0000 0.0000 Pr
```

=====

No. 7
The following is a PBE calculation of a relaxed structure of Nd2ZrScAs4, from the Alexandria database.

Calculated values
space group	No. 10

POSCAR file:
```
Nd2ZrScAs4
1.0
-3.8147 -0.3070 1.3666
2.3338 -3.2348 5.7878
-0.1601 6.9654 1.1179
Sc Zr As Nd
1 1 4 2
Cartesian
-0.7404 -1.7709 3.5772 Sc
0.0000 0.0000 0.0000 Zr
1.6956 -0.8330 4.5458 As
-0.2627 2.7874 5.9349 As
0.4781 4.5636 2.3599 As
-1.3783 0.6362 2.3374 As
-1.9874 3.3292 1.2423 Nd
1.0868 1.8653 3.4528 Nd
```

=====

No. 8
The following is a PBE calculation of a relaxed structure of AgSeCl5, from the Alexandria database.

Calculated values
space group	No. 2
raw formation energy	-2.39	eV per formula unit

POSCAR file:
```
AgSeCl5
1.0
8.7584 -0.8721 -1.9385
-2.1995 8.5621 -1.9625
-0.3095 -0.3632 6.4216
Cl Ag Se
10 2 2
Cartesian
6.4992 6.0801 -2.1747 Cl
0.5552 4.7699 -0.5437 Cl
7.2825 1.5155 -0.1459 Cl
1.5663 3.3773 2.9745 Cl
-0.2498 1.2467 4.6954 Cl
5.6942 2.5569 3.0643 Cl
2.9698 0.6085 0.6361 Cl
-1.0332 5.8113 2.6665 Cl
4.6831 3.9495 -0.4539 Cl
3.2796 6.7183 1.8845 Cl
4.3792 -0.4360 -0.9692 Ag
4.2244 -0.6176 2.2416 Ag
-0.4501 3.2569 3.8349 Se
6.6995 4.0699 -1.3142 Se
```

=====

No. 9
The following is a PBE calculation of a relaxed structure of Ba2LaAu, from the Alexandria database.

Calculated values
space group	No. 38
excess energy over the best structure of this formula in the dataset	60.1	meV/atom

POSCAR file:
```
Ba2LaAu
1.0
-1.9544 -3.4392 1.6866
4.6556 -2.9579 -0.6369
4.5031 0.5255 6.2897
La Ba Au
1 2 1
Cartesian
5.5014 -1.7254 2.8565 La
1.6481 -2.4718 2.3515 Ba
8.6465 -2.4515 5.0205 Ba
5.1463 -2.8716 5.5901 Au
```

=====

No. 10
The following is a PBE calculation of a relaxed structure of NdTm2Au, from the Alexandria database.

Calculated values
space group	No. 123
excess energy over the best structure of this formula in the dataset	5.9	meV/atom

POSCAR file:
```
NdTm2Au
1.0
3.6001 0.0000 0.0000
0.0000 3.6001 0.0000
0.0000 0.0000 8.5189
Au Tm Nd
1 2 1
Cartesian
1.8001 1.8001 0.0000 Au
0.0000 0.0000 6.8142 Tm
0.0000 0.0000 1.7047 Tm
1.8001 1.8001 4.2595 Nd
```

=====

No. 11
The following is a PBE calculation of a relaxed structure of K3Y2RhO6, from the Alexandria database.

Calculated values
space group	No. 12
raw formation energy	-25.46	eV per formula unit

POSCAR file:
```
K3Y2RhO6
1.0
-2.3686 -4.5912 2.7145
4.5967 -0.7473 -3.5172
3.0897 2.6395 5.0815
K O Y Rh
3 6 2 1
Cartesian
0.3000 -2.6513 4.2498 K
5.0177 -0.0478 0.0290 K
2.6589 -1.3496 2.1394 K
2.2295 -3.4736 0.3494 O
3.1352 -2.6225 4.4989 O
-0.0380 -1.3020 1.7666 O
5.3557 -1.3971 2.5123 O
3.0882 0.7745 3.9294 O
2.1825 -0.0766 -0.2201 O
2.2772 -2.0273 -1.4420 Y
-0.0492 -3.3112 0.6394 Y
0.0000 0.0000 0.0000 Rh
```

=====

Calculated total energy for every record listed, in sequence, given in eV per cell: -94.536 -40.157 -19.025 -178.631 -49.335 -42.512 -54.003 -35.926 -13.099 -18.664 -78.786.